No. 1
Here is LiScBe2 after structural relaxation from Alexandria via LeMat-Bulk. Energies are from PBEsol.

The energy relative to the lowest polymorph listed for this composition comes out at 0.02 eV/f.u. The value obtained for the total magnetization is 0.000 μB/cell. The formation energy comes out at 195 meV/atom. The calculation puts the density of states at the Fermi level at 4.58 states/eV per cell.

It has space group Amm2 (No. 38), with a = 3.898 Å, b = 2.953 Å, c = 9.977 Å, α = 90.00°, β = 90.00° and γ = 90.00°. The asymmetric unit holds Li at (0.000, 0.000, 0.000), Sc at (0.500, 0.000, 0.307), Be at (0.000, 0.000, 0.698) and Be at (0.500, 0.000, 0.594).

=====

No. 2
Here is LiSc2Be after structural relaxation from Alexandria via LeMat-Bulk. Energies are from PBEsol.

The value obtained for the total magnetization is 0.002 μB/cell. The formation energy comes out at 295 meV/atom. The calculation puts the density of states at the Fermi level at 11.96 states/eV per cell.

It has space group R-3m (No. 166, hexagonal axes), with a = 3.1168 Å, b = 3.1168 Å, c = 29.3349 Å, α = 90.00°, β = 90.00° and γ = 120.00°. The asymmetric unit holds Li at (0.0000, 0.0000, 0.0000), Sc at (0.0000, 0.0000, 0.1021) and Be at (0.0000, 0.0000, 0.5000).

=====

No. 3
Here is LiSc2Be after structural relaxation from Alexandria via LeMat-Bulk. Energies are from PBEsol.

The value obtained for the total magnetization is 1.422 μB/cell. The formation energy comes out at 178 meV/atom. The calculation puts the density of states at the Fermi level at 8.86 states/eV per cell.

It has space group Imm2 (No. 44), with a = 3.112 Å, b = 4.641 Å, c = 9.858 Å, α = 90.00°, β = 90.00° and γ = 90.00°. The asymmetric unit holds Li at (0.000, 0.000, 0.000), Sc at (0.000, 0.000, 0.584), Sc at (0.000, 0.500, 0.793) and Be at (0.000, 0.500, 0.312).

=====

Computed values of calculated total energy (unit: eV per cell) for the preceding records, in sequence: -31.58; -53.99; -36.93.